A geometry-optimized Sr3Ni2O7 structure, computed with PBE+U.

Unit cell a=10.4358 b=10.4358 c=10.4358 alpha=158.52 beta=158.52 gamma=30.57
Closest atoms and distances in Å follow each position.
Fractional coordinates of all 12 atoms:
Sr 0.0000 0.0000 0.0000  12 O 2.71-2.75
Sr 0.1815 0.1815 0.0000  9 O 2.50-2.76
Sr 0.8185 0.8185 0.0000  9 O 2.50-2.76
Ni 0.4015 0.4015 0.0000  6 O 1.93-1.98
Ni 0.5985 0.5985 0.0000  6 O 1.93-1.98
O 0.0940 0.5940 0.5000  2 Ni 1.95
O 0.3056 0.3056 0.0000  1 Ni 1.93
O 0.4060 0.9060 0.5000  2 Ni 1.95
O 0.5000 0.5000 0.0000  2 Ni 1.98
O 0.5940 0.0940 0.5000  2 Ni 1.95
O 0.6944 0.6944 0.0000  1 Ni 1.93
O 0.9060 0.4060 0.5000  2 Ni 1.95

Results
E_tot: -65.191 eV for the cell shown